[1]
The following is a PBE calculation of Ba3Ga2Sb4 after structural relaxation, from Alexandria.

Lattice parameters (Å, degrees): 7.5526 9.5723 9.5723 75.45 89.83 89.83
Last column: nearest neighbours and their distance in Å.
Fractional positions:
Ba1 0.9619 0.0013 0.2493  5 Sb 3.45-3.80, 1 Ga 3.85
Ba2 0.5381 0.7507 0.9987  5 Sb 3.45-3.80, 1 Ga 3.85
Ba3 0.0381 0.9987 0.7507  5 Sb 3.45-3.80, 1 Ga 3.85
Ba4 0.4619 0.2493 0.0013  5 Sb 3.45-3.80, 1 Ga 3.85
Ba5 0.2500 0.6029 0.3971  6 Sb 3.46-3.58
Ba6 0.7500 0.3971 0.6029  6 Sb 3.46-3.58
Ga1 0.4264 0.1775 0.4144  4 Sb 2.72-2.79
Ga2 0.0736 0.5856 0.8225  4 Sb 2.72-2.79
Ga3 0.5736 0.8225 0.5856  4 Sb 2.72-2.79
Ga4 0.9264 0.4144 0.1775  4 Sb 2.72-2.79
Sb1 0.4764 0.9417 0.2989  2 Ga 2.78-2.79
Sb2 0.0236 0.7011 0.0583  2 Ga 2.78-2.79
Sb3 0.5236 0.0583 0.7011  2 Ga 2.78-2.79
Sb4 0.9764 0.2989 0.9417  2 Ga 2.78-2.79
Sb5 0.0829 0.2589 0.4264  2 Ga 2.72-2.74
Sb6 0.4171 0.5736 0.7411  2 Ga 2.72-2.74
Sb7 0.9171 0.7411 0.5736  2 Ga 2.72-2.74
Sb8 0.5829 0.4264 0.2589  2 Ga 2.72-2.74

Calculated values
energy above the most stable polymorph in this dataset = 0 meV per atom
total DFT energy (no corrections) = -3.86 eV/atom

=====

[2]
The following is a PBE calculation of Sm12Y3Tl after structural relaxation, from Alexandria.

Lattice parameters (Å, degrees): 5.0456 5.0456 20.5268 90.00 90.00 90.00
Last column: nearest neighbours and their distance in Å.
Fractional positions:
Sm1 0.5000 0.5000 0.0000  8 Sm 3.54, 4 Tl 3.57
Sm2 0.5000 0.5000 0.2461  4 Y 3.57, 8 Sm 3.60-3.64
Sm3 0.5000 0.5000 0.5000  4 Y 3.57, 8 Sm 3.62
Sm4 0.5000 0.5000 0.7539  4 Y 3.57, 8 Sm 3.60-3.64
Sm5 0.5000 0.0000 0.1212  2 Tl 3.54, 8 Sm 3.54-3.60, 2 Y 3.63
Sm6 0.5000 0.0000 0.3737  8 Sm 3.57-3.64, 4 Y 3.60-3.62
Sm7 0.5000 0.0000 0.6263  8 Sm 3.57-3.64, 4 Y 3.60-3.62
Sm8 0.5000 0.0000 0.8788  2 Tl 3.54, 8 Sm 3.54-3.60, 2 Y 3.63
Sm9 0.0000 0.5000 0.1212  2 Tl 3.54, 8 Sm 3.54-3.60, 2 Y 3.63
Sm10 0.0000 0.5000 0.3737  8 Sm 3.57-3.64, 4 Y 3.60-3.62
Sm11 0.0000 0.5000 0.6263  8 Sm 3.57-3.64, 4 Y 3.60-3.62
Sm12 0.0000 0.5000 0.8788  2 Tl 3.54, 8 Sm 3.54-3.60, 2 Y 3.63
Y1 0.0000 0.0000 0.2483  12 Sm 3.57-3.63
Y2 0.0000 0.0000 0.5000  12 Sm 3.57-3.62
Y3 0.0000 0.0000 0.7517  12 Sm 3.57-3.63
Tl1 0.0000 0.0000 0.0000  12 Sm 3.54-3.57

Calculated values
D(E_F) = 22.8 states/eV/f.u.
ΔE_f = -0.028 eV/atom
total DFT energy (no corrections) = -4.93 eV/atom

=====

[3]
The following is a PBE calculation of K2AgH after structural relaxation, from Alexandria.

Lattice parameters (Å, degrees): 7.8761 7.8761 7.0824 56.22 56.22 90.00
Last column: nearest neighbours and their distance in Å.
Fractional positions:
H1 0.5000 0.5000 0.0000  4 K 2.61
H2 0.2500 0.7500 0.5000  4 K 2.61
K1 0.5421 0.1250 0.2500  2 H 2.61
K2 0.2079 0.6250 0.2500  2 H 2.61
K3 0.3750 0.4579 0.7500  2 H 2.61
K4 0.8750 0.7921 0.7500  2 H 2.61
Ag1 0.0000 0.0000 0.0000  4 K 3.46
Ag2 0.7500 0.2500 0.5000  4 K 3.46

Calculated values
D(E_F) = 0.0 states/eV/f.u.
energy above the most stable polymorph in this dataset = 7 meV per atom
total DFT energy (no corrections) = -2.09 eV/atom

=====

[4]
The following is a PBE calculation of LaP2W after structural relaxation, from Alexandria.

Lattice parameters (Å, degrees): 8.9146 8.9146 8.9146 20.29 20.29 20.29
Last column: nearest neighbours and their distance in Å.
Fractional positions:
La1 0.7453 0.7453 0.7453  3 P 3.09, 6 La 3.14, 3 W 3.38
P1 0.9831 0.9831 0.9831  3 P 2.50
P2 0.2508 0.2508 0.2508  3 W 2.46, 3 P 2.50
W1 0.5208 0.5208 0.5208  3 P 2.46

Calculated values
D(E_F) = 3.7 states/eV/f.u.
energy above the most stable polymorph in this dataset = 962 meV per atom
ΔE_f = 0.276 eV/atom
total DFT energy (no corrections) = -6.90 eV/atom

=====

[5]
The following is a PBE calculation of Sm2Al3Si4 after structural relaxation, from Alexandria.

Lattice parameters (Å, degrees): 5.8890 7.7852 7.9616 90.00 111.71 90.00
Last column: nearest neighbours and their distance in Å.
Fractional positions:
Sm1 0.1131 0.5837 0.2263  8 Si 3.06-3.15, 4 Al 3.19-3.36
Sm2 0.8869 0.4163 0.7737  8 Si 3.06-3.15, 4 Al 3.19-3.36
Sm3 0.3869 0.0837 0.7737  8 Si 3.06-3.15, 4 Al 3.19-3.36
Sm4 0.6131 0.9163 0.2263  8 Si 3.06-3.15, 4 Al 3.19-3.36
Al1 0.0000 0.0000 0.0000  6 Si 2.54-2.78
Al2 0.5000 0.5000 0.0000  6 Si 2.54-2.78
Al3 0.5334 0.7500 0.5667  5 Si 2.49-2.79
Al4 0.9666 0.2500 0.4333  5 Si 2.49-2.79
Al5 0.4666 0.2500 0.4333  5 Si 2.49-2.79
Al6 0.0334 0.7500 0.5667  5 Si 2.49-2.79
Si1 0.7018 0.7500 0.9036  3 Al 2.49-2.54
Si2 0.7982 0.2500 0.0964  3 Al 2.49-2.54
Si3 0.2982 0.2500 0.0964  3 Al 2.49-2.54
Si4 0.2018 0.7500 0.9036  3 Al 2.49-2.54
Si5 0.1865 0.9513 0.3730  5 Al 2.58-2.79
Si6 0.8135 0.0487 0.6270  5 Al 2.58-2.79
Si7 0.3135 0.4513 0.6270  5 Al 2.58-2.79
Si8 0.6865 0.5487 0.3730  5 Al 2.58-2.79

Calculated values
D(E_F) = 3.6 states/eV/f.u.
total DFT energy (no corrections) = -5.09 eV/atom

=====

[6]
The following is a PBE calculation of Ti2Pd4Au3 after structural relaxation, from Alexandria.

Lattice parameters (Å, degrees): 5.2777 7.7375 7.7375 82.00 78.75 78.75
Last column: nearest neighbours and their distance in Å.
Fractional positions:
Ti1 0.6082 0.1902 0.3833  1 Pd 2.40
Ti2 0.8918 0.6167 0.8098  1 Pd 2.40
Ti3 0.3918 0.8098 0.6167  1 Pd 2.40
Ti4 0.1082 0.3833 0.1902  1 Pd 2.40
Pd1 0.5112 0.8743 0.3020  1 Ti 2.40
Pd2 0.9888 0.6980 0.1257  1 Ti 2.40
Pd3 0.4888 0.1257 0.6980  1 Ti 2.40
Pd4 0.0112 0.3020 0.8743  1 Ti 2.40
Pd5 0.0977 0.1575 0.4906  4 Ti 2.71-2.97, 2 Pd 2.80-2.81, 4 Au 2.81-2.97
Pd6 0.4023 0.5094 0.8425  4 Ti 2.71-2.97, 2 Pd 2.80-2.81, 4 Au 2.81-2.97
Pd7 0.9023 0.8425 0.5094  4 Ti 2.71-2.97, 2 Pd 2.80-2.81, 4 Au 2.81-2.97
Pd8 0.5977 0.4906 0.1575  4 Ti 2.71-2.97, 2 Pd 2.80-2.81, 4 Au 2.81-2.97
Au1 0.0422 0.0432 0.1732  2 Ti 2.69-2.75, 5 Pd 2.81-2.88, 4 Au 2.89-2.98
Au2 0.4578 0.8268 0.9568  2 Ti 2.69-2.75, 5 Pd 2.81-2.88, 4 Au 2.89-2.98
Au3 0.9578 0.9568 0.8268  2 Ti 2.69-2.75, 5 Pd 2.81-2.88, 4 Au 2.89-2.98
Au4 0.5422 0.1732 0.0432  2 Ti 2.69-2.75, 5 Pd 2.81-2.88, 4 Au 2.89-2.98
Au5 0.2500 0.4903 0.5097  2 Au 2.65, 2 Ti 2.85, 2 Pd 2.87
Au6 0.7500 0.5097 0.4903  2 Au 2.65, 2 Ti 2.85, 2 Pd 2.87

Calculated values
D(E_F) = 6.5 states/eV/f.u.
energy above the most stable polymorph in this dataset = 157 meV per atom
ΔE_f = -0.331 eV/atom
total DFT energy (no corrections) = -5.49 eV/atom

=====

[7]
The following is a PBE calculation of MgScP2O after structural relaxation, from Alexandria.

Lattice parameters (Å, degrees): 5.2099 5.2099 3.8087 90.00 90.00 90.00
Last column: nearest neighbours and their distance in Å.
Fractional positions:
Sc1 0.0000 0.0000 0.0000  2 O 1.90
P1 0.0000 0.5000 0.0000  2 Sc 2.60
P2 0.5000 0.0000 0.0000  2 Sc 2.60
Mg1 0.5000 0.5000 0.5000  8 P 3.23
O1 0.0000 0.0000 0.5000  2 Sc 1.90

Calculated values
D(E_F) = 4.1 states/eV/f.u.
energy above the most stable polymorph in this dataset = 0 meV per atom
total DFT energy (no corrections) = -5.23 eV/atom

=====

[8]
The following is a PBE calculation of MgSiTe2 after structural relaxation, from Alexandria.

Lattice parameters (Å, degrees): 5.1740 5.1740 5.1740 60.00 60.00 60.00
Last column: nearest neighbours and their distance in Å.
Fractional positions:
Mg1 0.5000 0.5000 0.5000  4 Te 3.17, 4 Si 3.17
Si1 0.7500 0.7500 0.7500  4 Te 3.17, 4 Mg 3.17
Te1 0.0000 0.0000 0.0000  4 Te 3.17, 4 Si 3.17
Te2 0.2500 0.2500 0.2500  4 Te 3.17, 4 Mg 3.17

Calculated values
D(E_F) = 2.6 states/eV/f.u.
energy above the most stable polymorph in this dataset = 650 meV per atom
total DFT energy (no corrections) = -2.97 eV/atom

=====

[9]
The following is a PBE calculation of Pm3SmDy6Tm2 after structural relaxation, from Alexandria.

Lattice parameters (Å, degrees): 6.1770 6.1770 11.8128 94.98 94.98 119.97
Last column: nearest neighbours and their distance in Å.
Fractional positions:
Pm1 0.1669 0.8331 0.5000  6 Pm 3.56-3.57, 6 Dy 3.59-3.60
Pm2 0.8331 0.1669 0.5000  6 Pm 3.56-3.57, 6 Dy 3.59-3.60
Pm3 0.5000 0.5000 0.5000  6 Pm 3.56-3.57, 6 Dy 3.59
Sm1 0.0000 0.0000 0.0000  6 Dy 3.54, 6 Tm 3.56-3.57
Dy1 0.9180 0.5840 0.7530  2 Tm 3.53, 1 Sm 3.54, 6 Dy 3.56-3.57, 3 Pm 3.59
Dy2 0.7479 0.7479 0.2469  2 Tm 3.53, 1 Sm 3.54, 6 Dy 3.56-3.57, 3 Pm 3.59-3.60
Dy3 0.0820 0.4160 0.2470  2 Tm 3.53, 1 Sm 3.54, 6 Dy 3.56-3.57, 3 Pm 3.59
Dy4 0.5840 0.9180 0.7530  2 Tm 3.53, 1 Sm 3.54, 6 Dy 3.56-3.57, 3 Pm 3.59
Dy5 0.2521 0.2521 0.7531  2 Tm 3.53, 1 Sm 3.54, 6 Dy 3.56-3.57, 3 Pm 3.59-3.60
Dy6 0.4160 0.0820 0.2470  2 Tm 3.53, 1 Sm 3.54, 6 Dy 3.56-3.57, 3 Pm 3.59
Tm1 0.3332 0.6668 0.0000  6 Dy 3.53, 3 Sm 3.56-3.57, 3 Tm 3.57
Tm2 0.6668 0.3332 0.0000  6 Dy 3.53, 3 Sm 3.56-3.57, 3 Tm 3.57

Calculated values
D(E_F) = 15.4 states/eV/f.u.
ΔE_f = 0.017 eV/atom
total DFT energy (no corrections) = -4.61 eV/atom

=====

[10]
The following is a PBE calculation of Ag3HgN after structural relaxation, from Alexandria.

Lattice parameters (Å, degrees): 5.2077 5.2077 5.2077 90.00 90.00 90.00
Last column: nearest neighbours and their distance in Å.
Fractional positions:
Hg1 0.0000 0.0000 0.0000  6 Ag 2.60
Ag1 0.0000 0.5000 0.0000  2 Hg 2.60
Ag2 0.0000 0.0000 0.5000  2 Hg 2.60
Ag3 0.5000 0.0000 0.0000  2 Hg 2.60
N1 0.5000 0.5000 0.5000  12 Ag 3.68

Calculated values
D(E_F) = 2.9 states/eV/f.u.
energy above the most stable polymorph in this dataset = 1331 meV per atom
total DFT energy (no corrections) = -1.56 eV/atom

=====

no.,total magnetic moment (μB per atom)
1,0.00
2,0.00
3,0.00
4,0.01
5,0.00
6,0.00
7,0.00
8,0.00
9,0.00
10,0.00